Entry 1:
## CrTeAs2 (PBE-GGA)

Data for a relaxed CrTeAs2 crystal.

Cell lengths 4.864, 4.864, 4.864 Å; angles 60.00, 60.00, 60.00 degrees
Fractional positions:
As 0.000 0.000 0.000
As 0.750 0.750 0.750
Cr 0.500 0.500 0.500
Te 0.250 0.250 0.250

Results
VASP energy ... -5.023 eV per atom
Total moment ... 3.50 μB/f.u.
Energy relative to the elements, uncorrected ... 0.493 eV per atom

Entry 2:
## CrTeAs2 (PBE-GGA)

Data for a relaxed CrTeAs2 crystal.

Cell lengths 4.843, 4.843, 3.671 Å; angles 90.00, 90.00, 105.47 degrees
Fractional positions:
As 0.000 0.000 0.000
As 0.500 0.500 0.000
Cr 0.500 0.000 0.500
Te 0.000 0.500 0.500

Results
VASP energy ... -5.093 eV per atom
Total moment ... 3.54 μB/f.u.
Energy relative to the elements, uncorrected ... 0.423 eV per atom

Entry 3:
## Cr2TeAs (PBE-GGA)

Data for a relaxed Cr2TeAs crystal.

Cell lengths 3.359, 3.359, 6.861 Å; angles 90.00, 90.00, 99.03 degrees
Fractional positions:
As 0.500 0.500 0.750
Cr 0.000 0.000 0.968
Cr 0.000 0.000 0.532
Te 0.500 0.500 0.250

Results
VASP energy ... -6.476 eV per atom
Total moment ... 6.99 μB/f.u.
Energy relative to the elements, uncorrected ... 0.284 eV per atom